1.
Material: LaIr2
Method: DFT, PBE
State: optimized geometry

POSCAR file:
```
LaIr2
1.0
-2.5399 0.3211 -3.4758
-1.3905 -2.1062 3.5023
-1.6277 3.6066 1.5226
Ir La
2 1
direct
0.6667 0.3333 0.5000 Ir
0.3333 0.6667 0.5000 Ir
0.0000 0.0000 0.0000 La
```

Summary:
Energy relative to the elements (eV/atom): -0.54
DOS(E_F) (states/eV per cell): 4.51
Calculated volume (Å³ per cell): 68
Total DFT energy (no corrections) (eV/atom): -8.091

=====

2.
Material: Mg5Cu3
Method: DFT, PBE
State: optimized geometry

POSCAR file:
```
Mg5Cu3
1.0
7.7294 0.0007 0.0000
-3.8619 6.6948 0.0000
0.0000 0.0000 5.4863
Cu Mg
6 10
direct
0.0000 0.4010 0.7500 Cu
0.0000 0.5991 0.2500 Cu
0.4009 0.0000 0.7500 Cu
0.4010 0.4010 0.2500 Cu
0.5991 0.0000 0.2500 Cu
0.5991 0.5990 0.7500 Cu
0.0000 0.2460 0.2500 Mg
0.0000 0.7540 0.7500 Mg
0.2460 0.0000 0.2500 Mg
0.2459 0.2459 0.7500 Mg
0.3333 0.6666 0.0000 Mg
0.3333 0.6666 0.5000 Mg
0.6666 0.3333 0.0000 Mg
0.6666 0.3333 0.5000 Mg
0.7540 0.0000 0.7500 Mg
0.7541 0.7541 0.2500 Mg
```

Summary:
Energy relative to the elements (eV/atom): -0.06
DOS(E_F) (states/eV per cell): 6.78
Calculated volume (Å³ per cell): 284
Total DFT energy (no corrections) (eV/atom): -2.594
Excess energy over the best structure of this formula in the dataset (meV per atom): 20.9

=====

3.
Material: ScBe2TcGe2
Method: DFT, PBE
State: optimized geometry

POSCAR file:
```
ScBe2TcGe2
1.0
-3.5939 1.0760 -1.4297
0.5031 -3.6295 1.6405
-1.4650 2.2149 5.3497
Sc Be Tc Ge
1 2 1 2
direct
0.0000 0.0000 0.0000 Sc
0.6667 0.3333 0.6625 Be
0.3333 0.6667 0.3375 Be
0.0000 0.0000 0.5000 Tc
0.6667 0.3333 0.2580 Ge
0.3333 0.6667 0.7420 Ge
```

Summary:
Energy relative to the elements (eV/atom): -0.31
DOS(E_F) (states/eV per cell): 2.13
Calculated volume (Å³ per cell): 83
Total DFT energy (no corrections) (eV/atom): -5.873

=====

4.
Material: BaMoAu4
Method: DFT, PBE
State: optimized geometry

POSCAR file:
```
BaMoAu4
1.0
0.0000 4.0703 4.0703
4.0703 0.0000 4.0703
4.0703 4.0703 0.0000
Ba Mo Au
1 1 4
direct
0.7500 0.7500 0.7500 Ba
0.0000 0.0000 0.0000 Mo
0.8778 0.3741 0.3741 Au
0.3741 0.3741 0.8778 Au
0.3741 0.8778 0.3741 Au
0.3741 0.3741 0.3741 Au
```

Summary:
Energy relative to the elements (eV/atom): 0.20
DOS(E_F) (states/eV per cell): 3.99
Calculated volume (Å³ per cell): 135
Total DFT energy (no corrections) (eV/atom): -4.113

=====

5.
Material: IrRhNO2
Method: DFT, PBE
State: optimized geometry

POSCAR file:
```
IrRhNO2
1.0
3.9931 0.0000 0.0000
0.0000 3.9931 0.0000
0.0000 0.0000 3.7406
Ir Rh O N
1 1 2 1
direct
0.5000 0.5000 0.5000 Ir
0.0000 0.0000 0.0000 Rh
0.0000 0.5000 0.0000 O
0.5000 0.0000 0.0000 O
0.0000 0.0000 0.5000 N
```

Summary:
ΔE_f (raw) (kcal/mol of atoms): 25.86
DOS(E_F) (states/eV per cell): 5.90
Calculated volume (Å³ per cell): 60
Total DFT energy (no corrections) (eV/atom): -5.769

=====

6.
Material: ReIrCl
Method: DFT, PBE
State: optimized geometry

POSCAR file:
```
ReIrCl
1.0
-1.8241 2.8296 2.5505
-1.3623 -1.1713 3.8224
2.0191 1.3335 3.4617
Cl Ir Re
1 1 1
direct
0.0000 0.0000 0.0000 Cl
0.5000 0.5000 0.5000 Ir
0.2500 0.2500 0.2500 Re
```

Summary:
ΔE_f (raw) (kcal/mol of atoms): 20.16
DOS(E_F) (states/eV per cell): 3.03
Calculated volume (Å³ per cell): 53
Total DFT energy (no corrections) (eV/atom): -6.844
Excess energy over the best structure of this formula in the dataset (meV per atom): 497.3